No. 1
# PBE K4RbHg2, optimized geometry
# E = -13.87 eV/cell
# Crystal system = monoclinic
# Symmetry = P2_1/m, No. 11
data_K4RbHg2
_cell_length_a 7.805
_cell_length_b 10.219
_cell_length_c 9.773
_cell_angle_alpha 111.64
_cell_angle_beta 90.00
_cell_angle_gamma 90.00
_symmetry_space_group_name_H-M 'P 1'
_symmetry_Int_Tables_number 1
_symmetry_space_group_name_Hall 'P 1'
loop_
_atom_site_label
_atom_site_type_symbol
_atom_site_fract_x
_atom_site_fract_y
_atom_site_fract_z
Rb1 Rb 0.250 0.853 0.996
Rb2 Rb 0.750 0.147 0.004
K1 K 0.498 0.577 0.237
K2 K 0.750 0.017 0.387
K3 K 0.998 0.423 0.763
K4 K 0.502 0.423 0.763
K5 K 0.750 0.742 0.655
K6 K 0.250 0.258 0.345
K7 K 0.250 0.983 0.613
K8 K 0.002 0.577 0.237
Hg1 Hg 0.750 0.742 0.021
Hg2 Hg 0.250 0.623 0.580
Hg3 Hg 0.750 0.377 0.420
Hg4 Hg 0.250 0.258 0.979


No. 2
# PBE K2Rb5Hg3, optimized geometry
# E = -18.25 eV/cell
# Crystal system = monoclinic
# Symmetry = C2/c, No. 15
data_K2Rb5Hg3
_cell_length_a 7.865
_cell_length_b 12.276
_cell_length_c 12.275
_cell_angle_alpha 104.77
_cell_angle_beta 96.64
_cell_angle_gamma 96.64
_symmetry_space_group_name_H-M 'P 1'
_symmetry_Int_Tables_number 1
_symmetry_space_group_name_Hall 'P 1'
loop_
_atom_site_label
_atom_site_type_symbol
_atom_site_fract_x
_atom_site_fract_y
_atom_site_fract_z
Hg1 Hg 0.250 0.991 0.009
Hg2 Hg 0.545 0.500 0.774
Hg3 Hg 0.455 0.500 0.226
Hg4 Hg 0.955 0.226 0.500
Hg5 Hg 0.045 0.774 0.500
Hg6 Hg 0.750 0.009 0.991
Rb1 Rb 0.457 0.715 0.044
Rb2 Rb 0.085 0.258 0.148
Rb3 Rb 0.250 0.498 0.502
Rb4 Rb 0.957 0.044 0.715
Rb5 Rb 0.415 0.852 0.742
Rb6 Rb 0.915 0.742 0.852
Rb7 Rb 0.043 0.956 0.285
Rb8 Rb 0.543 0.285 0.956
Rb9 Rb 0.585 0.148 0.258
Rb10 Rb 0.750 0.502 0.498
K1 K 0.950 0.590 0.196
K2 K 0.050 0.410 0.804
K3 K 0.450 0.196 0.590
K4 K 0.550 0.804 0.410


No. 3
# PBE KRbHg2, optimized geometry
# E = -6.15 eV/cell
# Crystal system = tetragonal
# Symmetry = I-42d, No. 122
data_KRbHg2
_cell_length_a 9.707
_cell_length_b 9.707
_cell_length_c 7.778
_cell_angle_alpha 51.39
_cell_angle_beta 51.39
_cell_angle_gamma 90.00
_symmetry_space_group_name_H-M 'P 1'
_symmetry_Int_Tables_number 1
_symmetry_space_group_name_Hall 'P 1'
loop_
_atom_site_label
_atom_site_type_symbol
_atom_site_fract_x
_atom_site_fract_y
_atom_site_fract_z
Rb1 Rb 0.000 0.000 0.000
Rb2 Rb 0.750 0.250 0.500
K1 K 0.250 0.750 0.500
K2 K 0.500 0.500 0.000
Hg1 Hg 0.615 0.125 0.250
Hg2 Hg 0.375 0.385 0.750
Hg3 Hg 0.875 0.865 0.750
Hg4 Hg 0.135 0.625 0.250